one.
Compound: MgCdNiTe3
Source: OQMD
Functional: PBE
Structure: relaxed

```
12
Lattice="1.9715 -7.4680 0.0000 1.9715 7.4680 0.0000 0.0000 0.0000 10.1386" Properties=species:S:1:pos:R:3 pbc="T T T"
Mg 1.9715 3.7469 7.6039
Mg 1.9715 -3.7469 2.5346
Cd 0.0000 0.0000 0.0000
Cd 0.0000 0.0000 5.0693
Ni 1.9715 0.3835 2.5346
Ni 1.9715 -0.3835 7.6039
Te 1.9715 6.1353 2.5346
Te 1.9715 2.2921 0.8243
Te 1.9715 2.2921 4.2450
Te 1.9715 -2.2921 5.8936
Te 1.9715 -2.2921 9.3143
Te 1.9715 -6.1353 7.6039
```

Properties
Crystal system: orthorhombic

---

two.
Compound: MgCdNiTe3
Source: OQMD
Functional: PBE
Structure: relaxed

```
12
Lattice="1.9503 -6.9891 0.0000 1.9503 6.9891 0.0000 0.0000 0.0000 11.5994" Properties=species:S:1:pos:R:3 pbc="T T T"
Mg 1.9503 4.4293 8.6996
Mg 1.9503 -4.4293 2.8999
Cd 1.9503 0.2137 8.6996
Cd 1.9503 -0.2137 2.8999
Ni 0.0000 0.0000 0.0000
Ni 0.0000 0.0000 5.7997
Te 1.9503 4.6403 2.8999
Te 1.9503 1.5712 0.6032
Te 1.9503 1.5712 5.1965
Te 1.9503 -1.5712 6.4029
Te 1.9503 -1.5712 10.9962
Te 1.9503 -4.6403 8.6996
```

Properties
Crystal system: orthorhombic

---

Pick the least stable structure from those above. Pick: two